--- 1 ---
SrNb3Cu (PBE-GGA, relaxed); total magnetic moment = 0.00 μB/f.u.; theoretical density = 6.3 g/cm³
1.0
4.8280 0.0000 0.0000
0.0000 4.8280 0.0000
0.0000 0.0000 4.8280
Sr Nb Cu
1 3 1
Cartesian
0.0000 0.0000 0.0000
0.0000 0.0000 2.4140
0.0000 2.4140 0.0000
2.4140 0.0000 0.0000
2.4140 2.4140 2.4140



--- 2 ---
SrNb3Cu (PBE-GGA, relaxed); total magnetic moment = 0.00 μB/f.u.; theoretical density = 6.1 g/cm³
1.0
4.8850 0.0000 0.0000
0.0000 4.8850 0.0000
0.0000 0.0000 4.8850
Sr Nb Cu
1 3 1
Cartesian
0.0000 0.0000 0.0000
0.0000 2.4425 2.4425
2.4425 0.0000 2.4425
2.4425 2.4425 0.0000
2.4425 2.4425 2.4425



What should be chosen as the most stable of them? Choose 2.



--- 1 ---
TaNb3Cu (PBE-GGA, relaxed); total magnetic moment = 0.00 μB/f.u.; theoretical density = 8.7 g/cm³
1.0
4.6418 0.0000 0.0000
0.0000 4.6418 0.0000
0.0000 0.0000 4.6418
Ta Nb Cu
1 3 1
Cartesian
0.0000 0.0000 0.0000
0.0000 2.3209 2.3209
2.3209 0.0000 2.3209
2.3209 2.3209 0.0000
2.3209 2.3209 2.3209



--- 2 ---
TaNb3Cu (PBE-GGA, relaxed); total magnetic moment = 0.00 μB/f.u.; theoretical density = 7.5 g/cm³
1.0
4.8826 0.0000 0.0000
0.0000 4.8826 0.0000
0.0000 0.0000 4.8826
Ta Nb Cu
1 3 1
Cartesian
0.0000 0.0000 0.0000
0.0000 0.0000 2.4413
0.0000 2.4413 0.0000
2.4413 0.0000 0.0000
2.4413 2.4413 2.4413



What should be chosen as the most stable of them? Choose 1.



--- 1 ---
Ta3NbCu (PBE-GGA, relaxed); total magnetic moment = 0.00 μB/f.u.; theoretical density = 10.1 g/cm³
1.0
4.8620 0.0000 0.0000
0.0000 4.8620 0.0000
0.0000 0.0000 4.8620
Ta Nb Cu
3 1 1
Cartesian
0.0000 0.0000 2.4310
0.0000 2.4310 0.0000
2.4310 0.0000 0.0000
0.0000 0.0000 0.0000
2.4310 2.4310 2.4310



--- 2 ---
Ta3NbCu (PBE-GGA, relaxed); total magnetic moment = 0.00 μB/f.u.; theoretical density = 11.7 g/cm³
1.0
4.6330 0.0000 0.0000
0.0000 4.6330 0.0000
0.0000 0.0000 4.6330
Ta Nb Cu
3 1 1
Cartesian
0.0000 0.0000 2.3165
0.0000 2.3165 0.0000
2.3165 0.0000 0.0000
2.3165 2.3165 2.3165
0.0000 0.0000 0.0000



What should be chosen as the most stable of them? Choose 2.



--- 1 ---
TaNbCu (PBE-GGA, relaxed); total magnetic moment = 0.00 μB/f.u.; theoretical density = 11.1 g/cm³
1.0
4.7129 0.0000 0.0000
-2.3565 4.0815 0.0000
0.0000 0.0000 2.6140
Ta Nb Cu
1 1 1
Cartesian
0.0000 0.0000 0.0000
2.3565 1.3605 1.1498
0.0000 2.7210 2.0615



--- 2 ---
TaNbCu (PBE-GGA, relaxed); total magnetic moment = 0.00 μB/f.u.; theoretical density = 11.4 g/cm³
1.0
2.7704 0.0000 0.0000
0.0000 2.7704 0.0000
0.0000 0.0000 12.7610
Ta Nb Cu
2 2 2
Cartesian
0.0000 0.0000 0.0000
1.3852 1.3852 6.3805
0.0000 0.0000 4.0259
1.3852 1.3852 10.4064
0.0000 0.0000 8.3693
1.3852 1.3852 1.9888



What should be chosen as the most stable of them? Choose 2.



--- 1 ---
NbCu2Tc2 (PBE-GGA, relaxed); total magnetic moment = 0.00 μB/f.u.; theoretical density = 9.4 g/cm³
1.0
7.3007 0.0000 0.0000
0.0000 7.3007 0.0000
0.0000 0.0000 2.7654
Nb Cu Tc
2 4 4
Cartesian
0.0000 0.0000 0.0000
3.6504 3.6504 0.0000
1.3046 2.3458 1.3827
2.3458 5.9962 1.3827
4.9550 1.3046 1.3827
5.9962 4.9550 1.3827
0.8475 4.4979 0.0000
2.8028 0.8475 0.0000
4.4979 6.4532 0.0000
6.4532 2.8028 0.0000



--- 2 ---
NbCu2Tc2 (PBE-GGA, relaxed); total magnetic moment = 0.00 μB/f.u.; theoretical density = 9.1 g/cm³
1.0
3.3130 0.0000 0.0000
0.0000 3.3130 0.0000
0.0000 0.0000 13.8489
Nb Cu Tc
2 4 4
Cartesian
0.0000 0.0000 0.0000
1.6565 1.6565 6.9244
0.0000 1.6565 3.4622
0.0000 1.6565 10.3867
1.6565 0.0000 3.4622
1.6565 0.0000 10.3867
0.0000 0.0000 5.5257
0.0000 0.0000 8.3232
1.6565 1.6565 1.3988
1.6565 1.6565 12.4501



What should be chosen as the most stable of them? Choose 1.



--- 1 ---
NbCu2Tc2 (PBE-GGA, relaxed); total magnetic moment = 0.00 μB/f.u.; theoretical density = 9.2 g/cm³
1.0
3.5895 0.0000 0.0000
0.0000 3.5895 0.0000
0.0000 0.0000 11.6593
Nb Cu Tc
2 4 4
Cartesian
0.0000 0.0000 0.0000
1.7947 1.7947 5.8297
0.0000 0.0000 4.7124
0.0000 0.0000 6.9470
1.7947 1.7947 1.1173
1.7947 1.7947 10.5420
0.0000 1.7947 2.9148
0.0000 1.7947 8.7445
1.7947 0.0000 2.9148
1.7947 0.0000 8.7445



--- 2 ---
NbCu2Tc2 (PBE-GGA, relaxed); total magnetic moment = 0.00 μB/f.u.; theoretical density = 9.6 g/cm³
1.0
6.6161 0.0000 0.0000
0.0000 6.6161 0.0000
0.0000 0.0000 3.2873
Nb Cu Tc
2 4 4
Cartesian
0.0000 0.0000 0.0000
3.3081 3.3081 0.0000
0.8234 2.4847 0.0000
2.4847 5.7927 0.0000
4.1314 0.8234 0.0000
5.7927 4.1314 0.0000
1.1521 4.4601 1.6436
2.1560 1.1521 1.6436
4.4601 5.4640 1.6436
5.4640 2.1560 1.6436



What should be chosen as the most stable of them? Choose 2.



--- 1 ---
NbCuTc2 (PBE-GGA, relaxed); total magnetic moment = 0.00 μB/f.u.; theoretical density = 9.9 g/cm³
1.0
3.8918 0.0000 0.0000
0.0000 3.8918 0.0000
0.0000 0.0000 3.9019
Nb Cu Tc
1 1 2
Cartesian
0.0000 0.0000 0.0000
1.9459 1.9459 0.0000
0.0000 1.9459 1.9510
1.9459 0.0000 1.9510



--- 2 ---
NbCuTc2 (PBE-GGA, relaxed); total magnetic moment = 0.00 μB/f.u.; theoretical density = 9.1 g/cm³
1.0
6.9929 0.0000 0.0000
0.0000 6.9929 0.0000
0.0000 0.0000 5.2531
Nb Cu Tc
4 4 8
Cartesian
0.0000 0.0000 0.0000
0.0000 3.4964 1.3133
3.4964 0.0000 3.9398
3.4964 3.4964 2.6265
0.0000 0.0000 2.6265
0.0000 3.4964 3.9398
3.4964 0.0000 1.3133
3.4964 3.4964 0.0000
1.6856 5.2447 3.2832
1.7482 1.6856 1.9699
1.7482 1.8109 4.5965
1.8109 5.2447 0.6566
5.1820 1.7482 0.6566
5.2447 5.1820 4.5965
5.2447 5.3073 1.9699
5.3073 1.7482 3.2832



What should be chosen as the most stable of them? Choose 1.



--- 1 ---
NbCu2Tc (PBE-GGA, relaxed); total magnetic moment = 0.00 μB/f.u.; theoretical density = 8.5 g/cm³
1.0
3.6048 0.0000 0.0000
0.0000 3.6048 0.0000
0.0000 0.0000 19.1279
Nb Cu Tc
4 8 4
Cartesian
0.0000 0.0000 0.0000
0.0000 1.8024 4.7820
1.8024 0.0000 14.3459
1.8024 1.8024 9.5640
0.8547 0.9012 11.9549
0.9012 2.6571 16.7369
0.9012 2.7501 7.1730
0.9477 0.9012 2.3910
2.6571 2.7036 2.3910
2.7036 0.8547 7.1730
2.7036 0.9477 16.7369
2.7501 2.7036 11.9549
0.0000 0.0000 9.5640
0.0000 1.8024 14.3459
1.8024 0.0000 4.7820
1.8024 1.8024 0.0000



--- 2 ---
NbCu2Tc (PBE-GGA, relaxed); total magnetic moment = 0.00 μB/f.u.; theoretical density = 9.3 g/cm³
1.0
6.1085 0.0000 0.0000
0.0000 6.1085 0.0000
0.0000 0.0000 6.1085
Nb Cu Tc
4 8 4
Cartesian
0.0000 0.0000 0.0000
0.0000 3.0543 3.0543
3.0543 0.0000 3.0543
3.0543 3.0543 0.0000
1.5271 1.5271 1.5271
1.5271 1.5271 4.5814
1.5271 4.5814 1.5271
1.5271 4.5814 4.5814
4.5814 1.5271 1.5271
4.5814 1.5271 4.5814
4.5814 4.5814 1.5271
4.5814 4.5814 4.5814
0.0000 0.0000 3.0543
0.0000 3.0543 0.0000
3.0543 0.0000 0.0000
3.0543 3.0543 3.0543



What should be chosen as the most stable of them? Choose 2.